(1)
The following is a PBE-GGA calculation of a relaxed Tm4Tl2CdAg crystal, from the Alexandria database.

As for the volume: 25.30 Å³ per atom. As for the calculated formation energy: -315 meV/atom.

It has space group R-3m (No. 166, hexagonal axes), with a = 5.2306 Å, b = 5.2306 Å, c = 25.6256 Å, α = 90.00°, β = 90.00° and γ = 120.00°. The distinct sites, in fractional coordinates, are Tm at (0.0000, 0.0000, 0.1226), Tm at (0.0000, 0.0000, 0.3729), Tl at (0.0000, 0.0000, 0.2489), Cd at (0.0000, 0.0000, 0.5000) and Ag at (0.0000, 0.0000, 0.0000).


(2)
The following is a PBE-GGA calculation of a relaxed Tm4TlCd2Ag crystal, from the Alexandria database.

As for the volume: 24.99 Å³ per atom. As for the calculated formation energy: -309 meV/atom.

It has space group R-3m (No. 166, hexagonal axes), with a = 5.2069 Å, b = 5.2069 Å, c = 25.5437 Å, α = 90.00°, β = 90.00° and γ = 120.00°. The distinct sites, in fractional coordinates, are Tm at (0.0000, 0.0000, 0.1220), Tm at (0.0000, 0.0000, 0.3725), Tl at (0.0000, 0.0000, 0.5000), Cd at (0.0000, 0.0000, 0.2504) and Ag at (0.0000, 0.0000, 0.0000).


(3)
The following is a PBE-GGA calculation of a relaxed Tm4TlCdAg2 crystal, from the Alexandria database.

As for the volume: 24.51 Å³ per atom. As for the calculated formation energy: -323 meV/atom.

It has space group R-3m (No. 166, hexagonal axes), with a = 5.1679 Å, b = 5.1679 Å, c = 25.4337 Å, α = 90.00°, β = 90.00° and γ = 120.00°. The distinct sites, in fractional coordinates, are Tm at (0.0000, 0.0000, 0.1240), Tm at (0.0000, 0.0000, 0.3744), Tl at (0.0000, 0.0000, 0.5000), Cd at (0.0000, 0.0000, 0.0000) and Ag at (0.0000, 0.0000, 0.2535).


(4)
The following is a PBE-GGA calculation of a relaxed Tl2VCdAg crystal, from the Alexandria database.

As for the volume: 31.76 Å³ per atom. As for the calculated formation energy: 1224 meV/atom.

It has space group P4/mmm (No. 123), with a = 5.5080 Å, b = 5.5080 Å, c = 5.2340 Å, α = 90.00°, β = 90.00° and γ = 90.00°. The distinct sites, in fractional coordinates, are Tl at (0.0000, 0.5000, 0.0000), V at (0.0000, 0.0000, 0.5000), Cd at (0.0000, 0.0000, 0.0000) and Ag at (0.5000, 0.5000, 0.5000).


(5)
The following is a PBE-GGA calculation of a relaxed Tm3Cd7Ag crystal, from the Alexandria database.

As for the volume: 25.11 Å³ per atom. As for the calculated formation energy: -84 meV/atom.

It has space group Cmcm (No. 63), with a = 3.4687 Å, b = 24.2258 Å, c = 13.1476 Å, α = 90.00°, β = 90.00° and γ = 90.00°. The distinct sites, in fractional coordinates, are Tm at (0.0000, 0.0942, 0.0426), Tm at (0.0000, 0.2423, 0.7500), Cd at (0.0000, 0.2956, 0.5399), Cd at (0.0000, 0.3577, 0.1420), Cd at (0.0000, 0.3840, 0.7500), Cd at (0.0000, 0.4930, 0.1160) and Ag at (0.0000, 0.0657, 0.7500).


(6)
The following is a PBE-GGA calculation of a relaxed Tm3Cd4Ag4 crystal, from the Alexandria database.

As for the energy above the lowest structure with this stoichiometry: 0.56 kcal/mol of atoms. As for the volume: 22.97 Å³ per atom. As for the calculated formation energy: -201 meV/atom.

It has space group P-1 (No. 2), with a = 3.7905 Å, b = 7.9966 Å, c = 9.4229 Å, α = 65.08°, β = 78.40° and γ = 89.95°. The distinct sites, in fractional coordinates, are Tm at (0.0000, 0.0000, 0.0000), Tm at (0.1098, 0.6102, 0.7798), Cd at (0.3399, 0.0264, 0.3208), Cd at (0.3406, 0.6526, 0.3210), Ag at (0.2500, 0.2503, 0.4992) and Ag at (0.5003, 0.3098, 0.0000).


(7)
The following is a PBE-GGA calculation of a relaxed Tm6CdAg5 crystal, from the Alexandria database.

As for the volume: 23.41 Å³ per atom. As for the calculated formation energy: -330 meV/atom.

It has space group Cmmm (No. 65), with a = 5.1083 Å, b = 15.2772 Å, c = 7.1985 Å, α = 90.00°, β = 90.00° and γ = 90.00°. The distinct sites, in fractional coordinates, are Tm at (0.0000, 0.0000, 0.2438), Tm at (0.0000, 0.3310, 0.2476), Cd at (0.0000, 0.5000, 0.5000), Ag at (0.0000, 0.1627, 0.5000), Ag at (0.0000, 0.1659, 0.0000) and Ag at (0.0000, 0.5000, 0.0000).


(8)
The following is a PBE-GGA calculation of a relaxed Tm2Cd3Ag2 crystal, from the Alexandria database.

As for the energy above the lowest structure with this stoichiometry: 0.93 kcal/mol of atoms. As for the volume: 23.06 Å³ per atom. As for the calculated formation energy: -208 meV/atom.

It has space group Cmmm (No. 65), with a = 4.5704 Å, b = 20.5573 Å, c = 3.4366 Å, α = 90.00°, β = 90.00° and γ = 90.00°. The distinct sites, in fractional coordinates, are Tm at (0.0000, 0.1619, 0.0000), Cd at (0.0000, 0.0000, 0.0000), Cd at (0.0000, 0.4272, 0.5000) and Ag at (0.0000, 0.2888, 0.5000).


In order of appearance, energy = -3.613; -3.425; -3.682; -2.300; -2.145; -2.790; -3.830; -2.693 eV/atom.